No. 1
## MgTcP2 (PBE-GGA)

Data for a relaxed structure of MgTcP2.

```
MgTcP2
1.0
7.9625 0.0304 0.0180
7.3745 3.0032 0.0180
7.3745 1.4587 2.6253
Mg P Tc
1 2 1
direct
0.7492 0.7492 0.7492 Mg
0.9908 0.9908 0.9908 P
0.2472 0.2472 0.2472 P
0.5129 0.5129 0.5129 Tc
```

raw total energy = -5.675 eV/atom
DFT formation energy = 20 meV per atom

No. 2
## Sm2ThF11 (PBE-GGA)

Data for a relaxed structure of Sm2ThF11.

```
Sm2ThF11
1.0
-1.9116 2.8297 7.8651
-2.5476 -5.8823 6.1711
6.2974 -0.2167 6.2825
Sm Th F
4 2 22
direct
0.6603 0.6902 0.3098 Sm
0.3397 0.3098 0.6902 Sm
0.8397 0.1902 0.8098 Sm
0.1603 0.8098 0.1902 Sm
0.7500 0.7500 0.7500 Th
0.2500 0.2500 0.2500 Th
0.6619 0.7118 0.5561 F
0.3381 0.2882 0.4439 F
0.0701 0.5561 0.7118 F
0.8381 0.9439 0.7882 F
0.9299 0.4439 0.2882 F
0.1619 0.0561 0.2118 F
0.4299 0.7882 0.9439 F
0.5701 0.2118 0.0561 F
0.5000 0.5000 0.5000 F
0.0000 0.0000 0.0000 F
0.8904 0.8114 0.1886 F
0.1096 0.1886 0.8114 F
0.6096 0.3114 0.6886 F
0.3904 0.6886 0.3114 F
0.4576 0.9716 0.3119 F
0.5424 0.0284 0.6881 F
0.2589 0.3119 0.9716 F
0.0424 0.1881 0.5284 F
0.7411 0.6881 0.0284 F
0.9576 0.8119 0.4716 F
0.2411 0.5284 0.1881 F
0.7589 0.4716 0.8119 F
```

uncorrected formation energy = -3786 meV per atom
raw total energy = -6.460 eV/atom

No. 3
## La4TlHgAu2 (PBE-GGA)

Data for a relaxed structure of La4TlHgAu2.

```
La4TlHgAu2
1.0
-4.6689 0.9415 2.6789
-3.6748 -4.0032 0.5758
1.1117 -3.4933 8.7386
La Tl Hg Au
4 1 1 2
direct
0.3774 0.3774 0.8679 La
0.8727 0.8727 0.3819 La
0.1273 0.1273 0.6181 La
0.6226 0.6226 0.1321 La
0.0000 0.0000 0.0000 Tl
0.5000 0.5000 0.5000 Hg
0.7478 0.7478 0.7566 Au
0.2522 0.2522 0.2434 Au
```

raw total energy = -4.208 eV/atom
DFT formation energy = -591 meV per atom

No. 4
## NaDyCuHg (PBE-GGA)

Data for a relaxed structure of NaDyCuHg.

```
NaDyCuHg
1.0
-1.0054 -2.9570 -3.9264
3.7277 -2.3856 -2.3632
0.4604 -4.9778 0.4255
Na Hg Cu Dy
1 1 1 1
direct
0.0000 0.0000 0.0000 Na
0.7500 0.7500 0.7500 Hg
0.2500 0.2500 0.2500 Cu
0.5000 0.5000 0.5000 Dy
```

raw total energy = -2.667 eV/atom
DFT formation energy = -88 meV per atom

No. 5
## K8H (PBE-GGA)

Data for a relaxed structure of K8H.

```
K8H
1.0
9.0758 0.0000 0.0000
-4.5379 7.8599 0.0000
0.0000 0.0000 7.4916
H K
1 8
direct
0.3333 0.1667 0.2500 H
0.4898 0.4797 0.0221 K
0.4898 0.0102 0.0221 K
0.0203 0.0102 0.0221 K
0.0000 0.5000 0.9631 K
0.1768 0.3232 0.4779 K
0.1768 0.8536 0.4779 K
0.6667 0.8333 0.5369 K
0.6464 0.3232 0.4779 K
```

raw total energy = -1.349 eV/atom

No. 6
## MgCuBr2 (PBE-GGA)

Data for a relaxed structure of MgCuBr2.

```
MgCuBr2
1.0
-0.0398 3.7061 1.0180
-2.2959 -0.8890 3.1467
5.6508 -0.8711 3.3922
Br Cu Mg
2 1 1
direct
0.0000 0.0435 0.0038 Br
0.0000 0.4565 0.4962 Br
0.5000 0.2500 0.2500 Cu
0.5000 0.7500 0.7500 Mg
```

uncorrected formation energy = -273 meV per atom
energy above the lowest structure with this stoichiometry = 0.229 eV per atom
raw total energy = -2.532 eV/atom

No. 7
## CePa2Hg (PBE-GGA)

Data for a relaxed structure of CePa2Hg.

```
CePa2Hg
1.0
-0.7783 0.3658 -4.9111
0.7349 -4.4165 -0.4454
-4.3830 -0.7934 0.6355
Pa Hg Ce
2 1 1
direct
0.0000 0.0000 0.5000 Pa
0.0000 0.5000 0.0000 Pa
0.5000 0.5000 0.5000 Hg
0.5000 0.0000 0.0000 Ce
```

energy above the lowest structure with this stoichiometry = 0.000 eV per atom
raw total energy = -6.187 eV/atom
DFT formation energy = 120 meV per atom

No. 8
## Y3Er2In7 (PBE-GGA)

Data for a relaxed structure of Y3Er2In7.

```
Y3Er2In7
1.0
4.6727 0.0000 0.0000
0.0000 4.8294 0.0000
0.0000 -2.4147 15.0538
Y Er In
3 2 7
direct
0.5000 0.5000 0.0000 Y
0.5000 0.6470 0.2940 Y
0.5000 0.3530 0.7060 Y
0.0000 0.8410 0.6819 Er
0.0000 0.1590 0.3181 Er
0.0000 0.4230 0.8459 In
0.0000 0.7255 0.4510 In
0.0000 0.0000 0.0000 In
0.0000 0.5770 0.1541 In
0.5000 0.0782 0.1564 In
0.5000 0.9218 0.8436 In
0.0000 0.2745 0.5490 In
```

raw total energy = -4.205 eV/atom
DFT formation energy = -231 meV per atom

No. 9
## BaHfHS2 (PBE-GGA)

Data for a relaxed structure of BaHfHS2.

```
BaHfHS2
1.0
5.1822 0.0000 0.0000
0.0000 3.6022 0.0000
0.0000 0.0000 5.1822
H S Hf Ba
1 2 1 1
direct
0.0000 0.0000 0.0000 H
0.0000 0.0000 0.5000 S
0.5000 0.0000 0.0000 S
0.0000 0.5000 0.0000 Hf
0.5000 0.5000 0.5000 Ba
```

energy above the lowest structure with this stoichiometry = 0.700 eV per atom
raw total energy = -5.384 eV/atom

No. 10
## BaBrN2 (PBE-GGA)

Data for a relaxed structure of BaBrN2.

```
BaBrN2
1.0
10.9073 0.6167 0.2232
1.7077 4.1903 0.9728
0.8194 0.9586 5.4826
Ba Br N
2 2 4
direct
0.2500 0.7103 0.5784 Ba
0.7500 0.2897 0.4216 Ba
0.0000 0.5000 0.5000 Br
0.5000 0.0000 0.5000 Br
0.7499 0.8870 0.9738 N
0.2501 0.1130 0.0262 N
0.7502 0.1418 0.9738 N
0.2498 0.8582 0.0262 N
```

uncorrected formation energy = -866 meV per atom
energy above the lowest structure with this stoichiometry = 0.000 eV per atom
raw total energy = -5.928 eV/atom

No. 11
## Y2Cr2Bi (PBE-GGA)

Data for a relaxed structure of Y2Cr2Bi.

```
Y2Cr2Bi
1.0
8.4388 0.0000 0.0000
0.0000 8.4388 0.0000
0.0000 0.0000 3.6644
Y Cr Bi
4 4 2
direct
0.3409 0.8409 0.0000 Y
0.8409 0.6591 0.0000 Y
0.6591 0.1591 0.0000 Y
0.1591 0.3409 0.0000 Y
0.1304 0.6304 0.5000 Cr
0.6304 0.8696 0.5000 Cr
0.8696 0.3696 0.5000 Cr
0.3696 0.1304 0.5000 Cr
0.0000 0.0000 0.0000 Bi
0.5000 0.5000 0.0000 Bi
```

energy above the lowest structure with this stoichiometry = 0.246 eV per atom
raw total energy = -6.803 eV/atom
DFT formation energy = 408 meV per atom

No. 12
## CaTe2Se (PBE-GGA)

Data for a relaxed structure of CaTe2Se.

```
CaTe2Se
1.0
-1.9482 -3.2401 -3.9050
-1.2808 -2.1793 4.7935
-5.4044 -0.4989 0.2375
Ca Te Se
1 2 1
direct
0.0000 0.5000 0.5000 Ca
0.0000 0.0000 0.0000 Te
0.5000 0.0000 0.5000 Te
0.5000 0.5000 0.0000 Se
```

uncorrected formation energy = -761 meV per atom
raw total energy = -3.703 eV/atom